[1]
Material: NiSbMo
Method: DFT, PBE
State: relaxed

Calculated total energy (eV/cell): -19.6

Lattice parameters (Å, degrees): 3.0330 3.0330 6.3026 90.00 90.00 120.00
Element x y z (fractional)
Sb (0.3333, 0.6667, 0.6548)
Ni (0.6667, 0.3333, 0.3252)
Mo (0.0000, 0.0000, 0.0201)

=====

[2]
Material: Sr2ErCuO5
Method: DFT, PBE
State: relaxed

Calculated total energy (eV/cell): -115.0

Lattice parameters (Å, degrees): 3.4619 6.8351 11.3152 90.00 90.00 104.67
Element x y z (fractional)
Cu (0.5202, 0.0404, 0.9450)
Cu (0.4798, 0.9596, 0.4450)
O (0.6247, 0.2495, 0.4869)
O (0.2754, 0.5508, 0.6540)
O (0.4847, 0.9694, 0.7799)
O (0.3342, 0.6684, 0.3980)
O (0.7246, 0.4492, 0.1540)
O (0.0433, 0.0865, 0.0399)
O (0.3753, 0.7505, 0.9869)
O (0.9567, 0.9135, 0.5399)
O (0.5153, 0.0306, 0.2799)
O (0.6658, 0.3316, 0.8980)
Sr (0.1474, 0.2949, 0.3096)
Sr (0.0924, 0.1847, 0.6848)
Sr (0.8526, 0.7051, 0.8096)
Sr (0.9076, 0.8153, 0.1848)
Er (0.2059, 0.4117, 0.0258)
Er (0.7941, 0.5883, 0.5258)

=====

[3]
Material: CuIr3Rh4
Method: DFT, PBE
State: relaxed

ΔE_f (eV/atom): 0.004

Lattice parameters (Å, degrees): 3.8318 4.6940 7.1822 89.66 74.53 65.91
Element x y z (fractional)
Ir (0.5000, 0.5000, 0.5000)
Ir (0.2431, 0.2591, 0.2546)
Ir (0.7569, 0.7409, 0.7454)
Rh (0.8750, 0.8796, 0.3704)
Rh (0.6251, 0.6289, 0.1209)
Rh (0.1250, 0.1204, 0.6296)
Rh (0.3749, 0.3711, 0.8791)
Cu (0.0000, 0.0000, 0.0000)

=====

[4]
Material: Ac2PuSi2
Method: DFT, PBE
State: relaxed

E above lowest polymorph (kJ per mole of atoms): 0.0

Lattice parameters (Å, degrees): 4.5436 6.8483 10.1728 80.21 77.10 70.63
Element x y z (fractional)
Si (0.8905, 0.6605, 0.5585)
Si (0.9996, 0.8934, 0.1073)
Si (0.1095, 0.3395, 0.4415)
Si (0.0004, 0.1066, 0.8927)
Ac (0.3152, 0.2682, 0.1015)
Ac (0.5096, 0.6680, 0.3128)
Ac (0.6848, 0.7318, 0.8985)
Ac (0.4904, 0.3320, 0.6872)
Pu (0.2283, 0.9281, 0.6153)
Pu (0.7717, 0.0719, 0.3847)

=====

[5]
Material: TlSiTe
Method: DFT, PBE
State: relaxed

E above lowest polymorph (kJ per mole of atoms): 2.0

Lattice parameters (Å, degrees): 6.6599 6.6599 6.6599 147.97 147.97 45.92
Element x y z (fractional)
Te (0.3770, 0.3770, 0.0000)
Si (0.9725, 0.9725, 0.0000)
Tl (0.6504, 0.6504, 0.0000)

=====

[6]
Material: Li2CaHfF8
Method: DFT, PBE
State: relaxed

Calculated total energy (eV/cell): -74.0

Lattice parameters (Å, degrees): 5.1741 5.1725 6.4391 113.70 113.71 89.96
Element x y z (fractional)
F (0.3692, 0.3935, 0.3605)
F (0.1201, 0.2626, 0.8213)
F (0.0330, 0.6305, 0.6396)
F (0.4415, 0.8799, 0.1784)
F (0.9911, 0.9670, 0.3603)
F (0.7016, 0.5587, 0.8216)
F (0.7367, 0.2985, 0.1784)
F (0.6067, 0.0091, 0.6396)
Li (0.4998, 0.4999, 0.9996)
Li (0.2502, 0.7504, 0.5005)
Hf (0.7500, 0.2500, 0.4999)
Ca (0.0000, 0.0001, 0.0001)

=====

[7]
Material: LiPt2Cl
Method: DFT, PBE
State: relaxed

E above lowest polymorph (kJ per mole of atoms): 68.1

Lattice parameters (Å, degrees): 4.4320 4.4320 4.4320 60.00 60.00 60.00
Element x y z (fractional)
Li (0.0000, 0.0000, 0.0000)
Pt (0.7500, 0.7500, 0.7500)
Pt (0.2500, 0.2500, 0.2500)
Cl (0.5000, 0.5000, 0.5000)

=====

[8]
Material: Ho4GeTe2C
Method: DFT, PBE
State: relaxed

Calculated total energy (eV/cell): -46.2

Lattice parameters (Å, degrees): 3.9939 7.0500 7.3843 108.19 90.00 90.00
Element x y z (fractional)
C (0.5000, 0.5000, 0.0000)
Ho (0.0000, 0.7134, 0.1960)
Ho (0.0000, 0.2866, 0.8040)
Ho (0.5000, 0.2617, 0.2058)
Ho (0.5000, 0.7383, 0.7942)
Te (0.0000, 0.5000, 0.5000)
Te (0.5000, 0.0000, 0.5000)
Ge (0.0000, 0.0000, 0.0000)

=====

[9]
Material: Sc2C3
Method: DFT, PBE
State: relaxed

E above lowest polymorph (kJ per mole of atoms): 0.0
ΔE_f (eV/atom): -0.270

Lattice parameters (Å, degrees): 6.6694 6.6694 6.6694 109.47 109.47 109.47
Element x y z (fractional)
C (0.5383, 0.7500, 0.2883)
C (0.2500, 0.0383, 0.7883)
C (0.0383, 0.7883, 0.2500)
C (0.7500, 0.4617, 0.7117)
C (0.7117, 0.7500, 0.4617)
C (0.2500, 0.2117, 0.9617)
C (0.4617, 0.7117, 0.7500)
C (0.7500, 0.2883, 0.5383)
C (0.2883, 0.5383, 0.7500)
C (0.2117, 0.9617, 0.2500)
C (0.9617, 0.2500, 0.2117)
C (0.7883, 0.2500, 0.0383)
Sc (0.0000, 0.0999, 0.5000)
Sc (0.5000, 0.0000, 0.5999)
Sc (0.5999, 0.5000, 0.0000)
Sc (0.0999, 0.5000, 0.0000)
Sc (0.4001, 0.4001, 0.4001)
Sc (0.9001, 0.9001, 0.9001)
Sc (0.5000, 0.0000, 0.0999)
Sc (0.0000, 0.5999, 0.5000)

=====

[10]
Material: Dy2Ho2TmMg5
Method: DFT, PBE
State: relaxed

ΔE_f (eV/atom): 0.082

Lattice parameters (Å, degrees): 5.0378 10.5187 10.5187 90.00 90.00 90.00
Element x y z (fractional)
Dy (0.0000, 0.1779, 0.3221)
Dy (0.0000, 0.8221, 0.6779)
Dy (0.0000, 0.6779, 0.1779)
Dy (0.0000, 0.3221, 0.8221)
Mg (0.5000, 0.5000, 0.0000)
Mg (0.5000, 0.9302, 0.1970)
Mg (0.5000, 0.0000, 0.5000)
Mg (0.5000, 0.1970, 0.0698)
Mg (0.5000, 0.8030, 0.9302)
Mg (0.5000, 0.5698, 0.6970)
Mg (0.5000, 0.4302, 0.3030)
Mg (0.5000, 0.3030, 0.5698)
Mg (0.5000, 0.6970, 0.4302)
Mg (0.5000, 0.0698, 0.8030)
Ho (0.0000, 0.1190, 0.6190)
Ho (0.0000, 0.6190, 0.8810)
Ho (0.0000, 0.8810, 0.3810)
Ho (0.0000, 0.3810, 0.1190)
Tm (0.0000, 0.5000, 0.5000)
Tm (0.0000, 0.0000, 0.0000)

=====

[11]
Material: SbSeBr
Method: DFT, PBE
State: relaxed

Calculated total energy (eV/cell): -42.3

Lattice parameters (Å, degrees): 7.1871 4.0982 15.3856 90.00 109.86 90.00
Element x y z (fractional)
Sb (0.7292, 0.5000, 0.2508)
Sb (0.2708, 0.0000, 0.2492)
Sb (0.2708, 0.5000, 0.7492)
Sb (0.7292, 0.0000, 0.7508)
Se (0.6550, 0.0000, 0.3600)
Se (0.3450, 0.0000, 0.6400)
Se (0.6550, 0.5000, 0.8600)
Se (0.3450, 0.5000, 0.1400)
Br (0.8078, 0.5000, 0.6238)
Br (0.1922, 0.0000, 0.8762)
Br (0.1922, 0.5000, 0.3762)
Br (0.8078, 0.0000, 0.1238)

=====

[12]
Material: Pu3CuPd3
Method: DFT, PBE
State: relaxed

ΔE_f (eV/atom): -0.280

Lattice parameters (Å, degrees): 4.3301 3.7344 9.8817 100.89 102.66 90.00
Element x y z (fractional)
Pu (0.3118, 0.8118, 0.6236)
Pu (0.6874, 0.1874, 0.3747)
Pu (0.9993, 0.9993, 0.9987)
Pd (0.5628, 0.5628, 0.1256)
Pd (0.8532, 0.3532, 0.7064)
Pd (0.1542, 0.6542, 0.3085)
Cu (0.4313, 0.4313, 0.8625)